No. 1
The following is a DFT calculation (PBE) of Ce2Be4ReSi3 after structural relaxation.

Cell: 3.904 3.904 9.782 Å, 90.00 90.00 90.00°
Atoms (fractional coordinates):
Be (0.000, 0.000, 0.000)
Be (0.500, 0.000, 0.633)
Be (0.000, 0.500, 0.367)
Be (0.500, 0.500, 0.000)
Ce (0.500, 0.000, 0.247)
Ce (0.000, 0.500, 0.753)
Re (0.500, 0.500, 0.500)
Si (0.000, 0.000, 0.500)
Si (0.000, 0.500, 0.128)
Si (0.500, 0.000, 0.872)

uncorrected formation energy	-0.328	eV per atom
ρ	6.5	g/cm3
symmetry	P-4m2
spin magnetization	0.00	μB per cell

=====

No. 2
The following is a DFT calculation (PBE) of CeBeRh after structural relaxation.

Cell: 4.368 6.436 7.109 Å, 90.00 90.00 90.00°
Atoms (fractional coordinates):
Be (0.750, 0.610, 0.682)
Be (0.250, 0.110, 0.818)
Be (0.250, 0.390, 0.318)
Be (0.750, 0.890, 0.182)
Ce (0.250, 0.660, 0.978)
Ce (0.750, 0.160, 0.522)
Ce (0.750, 0.340, 0.022)
Ce (0.250, 0.840, 0.478)
Rh (0.250, 0.432, 0.643)
Rh (0.750, 0.932, 0.857)
Rh (0.750, 0.568, 0.357)
Rh (0.250, 0.068, 0.143)

excess energy over the best structure of this formula in the dataset	0	meV per atom
ρ	8.4	g/cm3
symmetry	Pnma
formation energy	-538	meV/atom
spin magnetization	0.00	μB per cell

=====

No. 3
The following is a DFT calculation (PBE) of Ce2BeRh3 after structural relaxation.

Cell: 4.961 4.961 4.961 Å, 68.78 68.78 68.78°
Each line ends with the local moment (μB).
Atoms (fractional coordinates):
Ce (0.371, 0.371, 0.371)  0.34
Ce (0.629, 0.629, 0.629)  0.34
Rh (0.000, 0.500, 0.000)  -0.03
Rh (0.000, 0.000, 0.500)  -0.03
Rh (0.500, 0.000, 0.000)  -0.03
Be (0.000, 0.000, 0.000)  0.00

ρ	9.7	g/cm3
symmetry	R-3m
formation energy	-737	meV/atom
spin magnetization	0.72	μB per cell

=====

No. 4
The following is a DFT calculation (PBE) of CeBeRh2 after structural relaxation.

Cell: 3.002 3.002 6.781 Å, 90.00 90.00 90.00°
Each line ends with the local moment (μB).
Atoms (fractional coordinates):
Rh (0.000, 0.000, 0.195)  -0.01
Rh (0.000, 0.000, 0.805)  -0.01
Ce (0.500, 0.500, 0.500)  0.21
Be (0.500, 0.500, 0.000)  0.00

ρ	9.6	g/cm3
symmetry	P4/mmm
formation energy	-501	meV/atom
spin magnetization	0.24	μB per cell